Entry 1:
# Nd3AgAu3 (PBE, optimized geometry)
data_Nd3AgAu3
_cell_length_a 3.847
_cell_length_b 4.592
_cell_length_c 20.396
_cell_angle_alpha 90.00
_cell_angle_beta 90.00
_cell_angle_gamma 90.00
_space_group_name_H-M_alt 'I m m 2'
_space_group_IT_number 44
loop_
_space_group_symop_operation_xyz
'x,y,z'
'-x,-y,z'
'-x,y,z'
'x,-y,z'
'x+1/2,y+1/2,z+1/2'
'-x+1/2,-y+1/2,z+1/2'
'-x+1/2,y+1/2,z+1/2'
'x+1/2,-y+1/2,z+1/2'
loop_
_atom_site_label
_atom_site_type_symbol
_atom_site_fract_x
_atom_site_fract_y
_atom_site_fract_z
_atom_site_occupancy
Nd1 Nd 0.000 0.000 0.000 1
Nd2 Nd 0.000 0.000 0.373 1
Nd3 Nd 0.000 0.500 0.178 1
Ag1 Ag 0.000 0.500 0.752 1
Au1 Au 0.000 0.000 0.532 1
Au2 Au 0.000 0.000 0.838 1
Au3 Au 0.000 0.500 0.619 1
# **ΔH_f (0 K)**: -0.654 eV per atom
# **Mass density**: 10.43 g/cm3
# **Calculated total energy**: -4.509 eV/atom

=====

Entry 2:
# KNa10In2 (PBE, optimized geometry)
data_KNa10In2
_cell_length_a 6.650
_cell_length_b 16.821
_cell_length_c 16.879
_cell_angle_alpha 90.00
_cell_angle_beta 90.00
_cell_angle_gamma 90.00
_space_group_name_H-M_alt 'F m m m'
_space_group_IT_number 69
_space_group_name_Hall '-F 2 2'
loop_
_atom_site_label
_atom_site_type_symbol
_atom_site_fract_x
_atom_site_fract_y
_atom_site_fract_z
_atom_site_occupancy
K1 K 0.000 0.000 0.000 1
Na1 Na 0.000 0.104 0.386 1
Na2 Na 0.000 0.165 0.184 1
Na3 Na 0.250 0.250 0.000 1
In1 In 0.250 0.000 0.250 1
# **ΔH_f (0 K)**: -0.022 eV per atom
# **Mass density**: 1.75 g/cm3
# **Calculated total energy**: -1.542 eV/atom

=====

Entry 3:
# RbTl10Ga2 (PBE, optimized geometry)
data_RbTl10Ga2
_cell_length_a 6.332
_cell_length_b 15.774
_cell_length_c 16.165
_cell_angle_alpha 90.00
_cell_angle_beta 90.00
_cell_angle_gamma 90.00
_space_group_name_H-M_alt 'F m m m'
_space_group_IT_number 69
_space_group_name_Hall '-F 2 2'
loop_
_atom_site_label
_atom_site_type_symbol
_atom_site_fract_x
_atom_site_fract_y
_atom_site_fract_z
_atom_site_occupancy
Rb1 Rb 0.000 0.000 0.000 1
Tl1 Tl 0.000 0.104 0.386 1
Tl2 Tl 0.000 0.172 0.182 1
Tl3 Tl 0.250 0.250 0.000 1
Ga1 Ga 0.250 0.000 0.250 1
# **ΔH_f (0 K)**: 0.009 eV per atom
# **Mass density**: 9.33 g/cm3
# **Calculated total energy**: -2.351 eV/atom

=====

Entry 4:
# VFe2Rh2 (PBE, optimized geometry)
data_VFe2Rh2
_cell_length_a 7.047
_cell_length_b 7.047
_cell_length_c 2.808
_cell_angle_alpha 90.00
_cell_angle_beta 90.00
_cell_angle_gamma 90.00
_space_group_name_H-M_alt 'P 4/m b m'
_space_group_IT_number 127
_space_group_name_Hall '-P 4 2ab'
loop_
_atom_site_label
_atom_site_type_symbol
_atom_site_fract_x
_atom_site_fract_y
_atom_site_fract_z
_atom_site_occupancy
V1 V 0.000 0.000 0.000 1
Fe1 Fe 0.163 0.337 0.500 1
Rh1 Rh 0.136 0.636 0.000 1
# **ΔH_f (0 K)**: 0.104 eV per atom
# **Mass density**: 8.77 g/cm3
# **Calculated total energy**: -8.046 eV/atom
# **Offset from the most stable computed form**: 0.248 eV/atom

=====

Entry 5:
# La2MnCo3Ni12 (PBE, optimized geometry)
data_La2MnCo3Ni12
_cell_length_a 5.9986
_cell_length_b 5.9986
_cell_length_c 25.5274
_cell_angle_alpha 90.00
_cell_angle_beta 90.00
_cell_angle_gamma 120.00
_space_group_name_H-M_alt 'R -3 m'
_space_group_IT_number 166
_space_group_name_Hall '-R 3 2"'
loop_
_atom_site_label
_atom_site_type_symbol
_atom_site_fract_x
_atom_site_fract_y
_atom_site_fract_z
_atom_site_occupancy
La1 La 0.0000 0.0000 0.1556 1
Mn1 Mn 0.0000 0.0000 0.5000 1
Co1 Co 0.0000 0.5000 0.0000 1
Ni1 Ni 0.0587 0.5293 0.0941 1
Ni2 Ni 0.0713 0.5357 0.6186 1
# **ΔH_f (0 K)**: 0.266 eV per atom
# **Mass density**: 7.60 g/cm3
# **Calculated total energy**: -5.830 eV/atom

=====

Entry 6:
# ScGeH2 (PBE, optimized geometry)
data_ScGeH2
_cell_length_a 4.028
_cell_length_b 4.028
_cell_length_c 11.980
_cell_angle_alpha 90.00
_cell_angle_beta 90.00
_cell_angle_gamma 90.00
_space_group_name_H-M_alt 'I -4 2 d'
_space_group_IT_number 122
_space_group_name_Hall 'I -4 2bw'
loop_
_atom_site_label
_atom_site_type_symbol
_atom_site_fract_x
_atom_site_fract_y
_atom_site_fract_z
_atom_site_occupancy
Sc1 Sc 0.000 0.000 0.000 1
Ge1 Ge 0.000 0.000 0.500 1
H1 H 0.210 0.250 0.125 1
# **Mass density**: 4.09 g/cm3
# **Calculated total energy**: -4.483 eV/atom
# **Offset from the most stable computed form**: 0.000 eV/atom